Entry from Alexandria via LeMat-Bulk: crystalline LiPu2PbO8 at its relaxed geometry (PBE-GGA).

```
LiPu2PbO8
1.0
5.7204 0.0000 0.0000
-2.8602 4.9540 0.0000
0.0000 0.0000 5.8244
Li Pu Pb O
1 2 1 8
direct
0.0000 0.0000 0.0000
0.3333 0.6667 0.9261
0.6667 0.3333 0.0739
0.0000 0.0000 0.5000
0.0577 0.3591 0.1553
0.3014 0.9423 0.1553
0.3333 0.6667 0.6041
0.3591 0.3014 0.8447
0.6409 0.6986 0.1553
0.6667 0.3333 0.3959
0.6986 0.0577 0.8447
0.9423 0.6409 0.8447
```

Results
Calculated density ... 8352 kg/m3
Fermi-level density of states ... 5.5 states/eV per cell
Symmetry ... P-3
Energy relative to the elements, uncorrected ... -22.56 eV per formula unit